3
Lattice="-2.838 1.336 -3.700 0.383 -2.467 -4.159 -0.539 -1.026 4.710" Properties=species:S:1:pos:R:3 comment="CrSbRh, relaxed, DFT GGA-PBE" space_group="No. 107" pbc="T T T"
Cr -2.451 -1.128 -7.845
Rh -0.813 -0.374 -2.601
Sb -1.647 -0.758 -5.272

=====

5
Lattice="6.167 0.000 0.000 0.000 5.443 0.000 0.000 0.000 6.167" Properties=species:S:1:pos:R:3 comment="Ba2TiInPb, relaxed, DFT GGA-PBE" delta_e_f_mev_per_atom=303 space_group="No. 123" pbc="T T T"
Pb 0.000 2.722 0.000
Ti 0.000 0.000 0.000
Ba 0.000 0.000 3.083
Ba 3.083 0.000 0.000
In 3.083 2.722 3.083

=====

12
Lattice="6.178 -0.001 0.003 -3.088 5.351 0.003 -1.028 -1.780 6.311" Properties=species:S:1:pos:R:3 comment="K3Pm2TlO6, relaxed, DFT GGA-PBE" space_group="No. 12" pbc="T T T"
K -2.100 3.593 3.158
K 4.162 -0.023 3.158
K 1.031 1.785 3.158
Pm -0.002 3.568 0.003
Pm 3.092 1.782 0.003
Tl 0.000 0.000 0.000
O 3.096 1.779 5.081
O 2.056 3.560 1.233
O -1.034 1.792 1.236
O -0.007 3.571 5.081
O 0.006 0.011 5.084
O 2.069 0.000 1.236

=====

4
Lattice="-2.425 0.665 0.947 -2.488 -5.846 -6.075 -0.976 -1.232 2.179" Properties=species:S:1:pos:R:3 comment="FeRu3, relaxed, DFT GGA-PBE" delta_e_f_mev_per_atom=146 space_group="No. 166" pbc="T T T"
Fe 0.000 0.000 0.000
Ru -2.732 -4.553 -3.797
Ru -2.944 -3.206 -1.474
Ru -3.156 -1.860 0.848

=====

15
Lattice="-3.951 6.204 2.949 -3.451 -0.519 7.115 2.127 3.699 5.715" Properties=species:S:1:pos:R:3 comment="Ag6SnAu8, relaxed, DFT GGA-PBE" delta_e_f_mev_per_atom=51 space_group="No. 148" pbc="T T T"
Ag 0.024 5.448 7.244
Ag -4.553 5.443 5.929
Ag -3.619 2.515 6.350
Ag -1.657 6.870 9.429
Ag -0.723 3.942 9.850
Ag -5.300 3.937 8.535
Sn 0.000 0.000 0.000
Au -1.982 4.843 5.248
Au -2.441 7.200 6.840
Au -0.821 2.868 6.996
Au -4.288 6.909 11.664
Au -0.988 2.476 4.115
Au -4.455 6.517 8.783
Au -2.835 2.185 8.940
Au -3.294 4.542 10.531

=====

12
Lattice="5.082 0.000 2.686 1.877 6.184 2.599 -0.421 0.255 6.948" Properties=species:S:1:pos:R:3 comment="Tb2YC3, relaxed, DFT GGA-PBE" delta_e_f_mev_per_atom=-56 space_group="No. 74" pbc="T T T"
Tb 0.226 0.790 5.723
Tb 3.143 1.759 6.355
Tb 3.395 4.680 5.878
Tb 6.312 5.649 6.510
Y 4.856 4.707 9.265
Y 1.682 1.732 2.968
C 1.516 0.255 7.972
C 3.145 0.000 1.662
C 1.332 3.220 5.093
C -0.211 0.128 3.474
C 2.330 0.128 4.817
C 5.206 3.220 7.140

=====

4
Lattice="-2.613 -2.172 0.728 0.301 -2.265 2.618 -5.554 6.885 8.901" Properties=species:S:1:pos:R:3 comment="Pm2TmMg, relaxed, DFT GGA-PBE" delta_e_f_mev_per_atom=179 space_group="No. 166" pbc="T T T"
Mg 0.000 0.000 0.000
Tm -3.933 1.224 6.123
Pm -4.267 4.633 6.806
Pm -3.600 -2.186 5.441

=====

18
Lattice="5.965 0.000 0.000 -2.982 5.166 0.000 0.000 0.000 11.031" Properties=species:S:1:pos:R:3 comment="BaNpBiO6, relaxed, DFT GGA-PBE" space_group="No. 163" pbc="T T T"
Ba 0.000 0.000 0.000
Ba 0.000 0.000 5.516
Np 2.982 1.722 2.758
Np 0.000 3.444 8.273
Bi 0.000 3.444 2.758
Bi 2.982 1.722 8.273
O 2.050 3.143 1.631
O 4.679 1.819 1.631
O -0.764 4.962 7.146
O -1.697 3.346 9.401
O 1.286 1.819 3.885
O 3.915 3.143 3.885
O 0.764 4.962 9.401
O 3.746 0.204 3.885
O -0.933 2.023 7.146
O 2.218 0.204 1.631
O 1.697 3.346 7.146
O 0.933 2.023 9.401

=====

10
Lattice="-3.540 5.770 -0.543 -2.571 -2.133 -5.913 -2.887 -1.599 1.832" Properties=species:S:1:pos:R:3 comment="MgZn2Si2, relaxed, DFT GGA-PBE" space_group="No. 127" pbc="T T T"
Mg 0.000 0.000 0.000
Mg -3.055 1.818 -3.228
Zn -3.847 -1.201 -3.221
Zn -5.962 1.398 -4.285
Zn -5.151 3.238 -1.402
Zn -3.036 0.639 -0.338
Si -3.595 0.308 -5.396
Si -4.707 3.739 -4.154
Si -2.516 3.329 -1.059
Si -1.404 -0.102 -2.301

=====

5
Lattice="-0.350 -4.179 -3.285 0.947 -3.289 4.083 -5.231 -0.316 0.959" Properties=species:S:1:pos:R:3 comment="AlTcBi3, relaxed, DFT GGA-PBE" delta_e_f_mev_per_atom=678 space_group="No. 221" pbc="T T T"
Al -2.317 -3.892 0.878
Bi 0.473 -1.644 2.041
Bi -2.615 -0.158 0.479
Bi -0.175 -2.089 -1.643
Tc 0.000 0.000 0.000

=====

14
Lattice="-2.891 2.679 -2.909 -2.813 -4.613 -1.453 -2.723 -0.647 7.329" Properties=species:S:1:pos:R:3 comment="BaAlGaO4, relaxed, DFT GGA-PBE" space_group="No. 11" pbc="T T T"
Ba -6.285 -2.400 3.629
Ba -2.142 -0.182 -0.662
Al -3.491 -3.147 0.592
Al -4.936 0.566 2.375
Ga -6.008 -1.464 0.120
Ga -2.419 -1.118 2.847
O -3.380 -2.496 4.088
O -6.351 -2.225 -1.794
O -5.047 -0.086 -1.121
O -2.076 -0.357 4.761
O -3.097 -2.864 -1.071
O -5.331 0.282 4.038
O -4.968 -2.453 1.248
O -3.459 -0.129 1.719

=====

12
Lattice="5.268 0.000 0.000 2.634 4.562 0.000 2.634 1.521 7.873" Properties=species:S:1:pos:R:3 comment="Hf2TiV9, relaxed, DFT GGA-PBE" delta_e_f_mev_per_atom=140 space_group="No. 166" pbc="T T T"
Hf 7.902 4.562 3.408
Hf 2.634 1.521 4.466
Ti 0.000 0.000 0.000
V 7.902 4.562 7.863
V 2.634 1.521 0.010
V 5.268 3.041 3.937
V 3.939 2.274 1.921
V 6.597 2.274 1.921
V 5.268 4.576 1.921
V 6.597 3.809 5.952
V 5.268 1.507 5.952
V 3.939 3.809 5.952

=====

6
Lattice="-0.518 -3.926 0.126 1.719 -2.134 2.860 -9.550 -0.291 13.116" Properties=species:S:1:pos:R:3 comment="GeTeN, relaxed, DFT GGA-PBE" space_group="No. 1" pbc="T T T"
N -6.238 -2.965 11.515
N -5.152 -3.106 11.715
Te -3.342 -1.572 4.890
Te 0.241 -4.085 3.431
Ge -4.198 -3.397 6.786
Ge -9.371 -4.457 13.782

=====

| no. | E_tot (Ry per atom) |
| --- | --- |
| 1 | -0.510 |
| 2 | -0.245 |
| 3 | -0.428 |
| 4 | -0.656 |
| 5 | -0.228 |
| 6 | -0.536 |
| 7 | -0.273 |
| 8 | -0.568 |
| 9 | -0.206 |
| 10 | -0.329 |
| 11 | -0.479 |
| 12 | -0.663 |
| 13 | -0.394 |